K3YF6: relaxed, GGA-PBEsol.

Cell and atoms, written as CIF:
```
data_K3YF6
_symmetry_space_group_name_H-M 'F m -3 m'
_symmetry_Int_Tables_number 225
_symmetry_space_group_name_Hall '-F 4 2 3'
_cell_length_a 9.2361
_cell_length_b 9.2361
_cell_length_c 9.2361
_cell_angle_alpha 90.00
_cell_angle_beta 90.00
_cell_angle_gamma 90.00
loop_
_atom_site_label
_atom_site_type_symbol
_atom_site_fract_x
_atom_site_fract_y
_atom_site_fract_z
K1 K 0.0000 0.0000 0.0000
K2 K 0.2500 0.2500 0.2500
Y1 Y 0.0000 0.0000 0.5000
F1 F 0.0000 0.0000 0.2678
```

Summary:
Volume ... 19.70 Å³ per atom
Formation energy from raw total energies ... -3.274 eV per atom